Entry 1:
# TbDy6Tl PBE optimized geometry
data_TbDy6Tl
_chemical_formula_sum 'Tb1 Dy6 Tl1'
_symmetry_space_group_name_H-M 'P 4/m m m'
_symmetry_Int_Tables_number 123
_symmetry_space_group_name_Hall '-P 4 2'
_cell_length_a 4.897
_cell_length_b 4.897
_cell_length_c 10.049
_cell_angle_alpha 90.00
_cell_angle_beta 90.00
_cell_angle_gamma 90.00
loop_
_atom_site_label
_atom_site_type_symbol
_atom_site_fract_x
_atom_site_fract_y
_atom_site_fract_z
Tb1 Tb 0.000 0.000 0.000
Dy1 Dy 0.000 0.500 0.255
Dy2 Dy 0.500 0.500 0.000
Dy3 Dy 0.500 0.500 0.500
Tl1 Tl 0.000 0.000 0.500
# Size of the total moment = 0.000 μB/cell
# ΔH_f (0 K) = -74.7 meV/atom

Entry 2:
# Sc2ReRh PBE optimized geometry
data_Sc2ReRh
_chemical_formula_sum 'Sc6 Re3 Rh3'
_symmetry_space_group_name_H-M 'R -3 m'
_symmetry_Int_Tables_number 166
_symmetry_space_group_name_Hall '-R 3 2"'
_cell_length_a 2.9710
_cell_length_b 2.9710
_cell_length_c 28.1352
_cell_angle_alpha 90.00
_cell_angle_beta 90.00
_cell_angle_gamma 120.00
loop_
_atom_site_label
_atom_site_type_symbol
_atom_site_fract_x
_atom_site_fract_y
_atom_site_fract_z
Sc1 Sc 0.0000 0.0000 0.0928
Re1 Re 0.0000 0.0000 0.0000
Rh1 Rh 0.0000 0.0000 0.5000
# Size of the total moment = 0.000 μB/cell
# ΔH_f (0 K) = 141.8 meV/atom

Entry 3:
# Mn2NbCu PBE optimized geometry
data_Mn2NbCu
_chemical_formula_sum 'Mn8 Nb4 Cu4'
_symmetry_space_group_name_H-M 'I -4 2 d'
_symmetry_Int_Tables_number 122
_symmetry_space_group_name_Hall 'I -4 2bw'
_cell_length_a 6.724
_cell_length_b 6.724
_cell_length_c 5.286
_cell_angle_alpha 90.00
_cell_angle_beta 90.00
_cell_angle_gamma 90.00
loop_
_atom_site_label
_atom_site_type_symbol
_atom_site_fract_x
_atom_site_fract_y
_atom_site_fract_z
Mn1 Mn 0.238 0.250 0.125
Nb1 Nb 0.000 0.000 0.500
Cu1 Cu 0.000 0.000 0.000
# Size of the total moment = 17.187 μB/cell
# ΔH_f (0 K) = 552.2 meV/atom
# Energy above the most stable polymorph in this dataset = 0.483 eV per atom

What did the third record say?
# Mn2NbCu PBE optimized geometry
data_Mn2NbCu
_chemical_formula_sum 'Mn8 Nb4 Cu4'
_symmetry_space_group_name_H-M 'I -4 2 d'
_symmetry_Int_Tables_number 122
_symmetry_space_group_name_Hall 'I -4 2bw'
_cell_length_a 6.724
_cell_length_b 6.724
_cell_length_c 5.286
_cell_angle_alpha 90.00
_cell_angle_beta 90.00
_cell_angle_gamma 90.00
loop_
_atom_site_label
_atom_site_type_symbol
_atom_site_fract_x
_atom_site_fract_y
_atom_site_fract_z
Mn1 Mn 0.238 0.250 0.125
Nb1 Nb 0.000 0.000 0.500
Cu1 Cu 0.000 0.000 0.000
# Size of the total moment = 17.187 μB/cell
# ΔH_f (0 K) = 552.2 meV/atom
# Energy above the most stable polymorph in this dataset = 0.483 eV per atom

Which of these has the highest ΔH_f (0 K)?
Mn2NbCu

What did the first record say?
# TbDy6Tl PBE optimized geometry
data_TbDy6Tl
_chemical_formula_sum 'Tb1 Dy6 Tl1'
_symmetry_space_group_name_H-M 'P 4/m m m'
_symmetry_Int_Tables_number 123
_symmetry_space_group_name_Hall '-P 4 2'
_cell_length_a 4.897
_cell_length_b 4.897
_cell_length_c 10.049
_cell_angle_alpha 90.00
_cell_angle_beta 90.00
_cell_angle_gamma 90.00
loop_
_atom_site_label
_atom_site_type_symbol
_atom_site_fract_x
_atom_site_fract_y
_atom_site_fract_z
Tb1 Tb 0.000 0.000 0.000
Dy1 Dy 0.000 0.500 0.255
Dy2 Dy 0.500 0.500 0.000
Dy3 Dy 0.500 0.500 0.500
Tl1 Tl 0.000 0.000 0.500
# Size of the total moment = 0.000 μB/cell
# ΔH_f (0 K) = -74.7 meV/atom

What is the formula in the first record?
TbDy6Tl